The following is a PBE calculation of a geometry-optimized RbB2MoOs structure, from the Alexandria database.

abc: 4.1701 4.1701 4.9668
angles: 90.00 90.00 90.00
Closest atoms and distances in Å follow each position.
Sites, in units of the cell vectors:
Rb  0.0000  0.0000  0.0000  4 B 2.09
B  0.0000  0.5000  0.0000  2 Rb 2.09
B  0.5000  0.0000  0.0000  2 Rb 2.09
Mo  0.5000  0.5000  0.5000  4 Os 2.95, 8 B 3.24
Os  0.0000  0.0000  0.5000  2 Rb 2.48

## Properties
* space-group type: No. 123
* formation enthalpy at 0 K: 3.9280 eV/atom
* E_tot: -16.74 eV/f.u.
* magnetic moment: 0.00 μB/atom

=====

The following is a PBE calculation of a geometry-optimized ScBMo2Os structure, from the Alexandria database.

abc: 4.6919 4.6919 4.9848
angles: 90.00 90.00 90.00
Closest atoms and distances in Å follow each position.
Sites, in units of the cell vectors:
Sc  0.0000  0.0000  0.0000  2 Os 2.49
B  0.5000  0.5000  0.0000  4 Sc 3.32, 8 Mo 3.42
Mo  0.0000  0.5000  0.5000  2 Os 2.35
Mo  0.5000  0.0000  0.5000  2 Os 2.35
Os  0.0000  0.0000  0.5000  4 Mo 2.35, 2 Sc 2.49

## Properties
* space-group type: No. 123
* formation enthalpy at 0 K: 1.8518 eV/atom
* E_tot: -36.64 eV/f.u.
* magnetic moment: 0.00 μB/atom

=====

The following is a PBE calculation of a geometry-optimized B2Mo5P structure, from the Alexandria database.

abc: 7.0148 7.0148 7.0148
angles: 129.35 129.35 74.46
Closest atoms and distances in Å follow each position.
Sites, in units of the cell vectors:
B  0.1187  0.6187  0.7374  1 B 2.02
B  0.3813  0.1187  0.5000  1 B 2.02
B  0.6187  0.8813  0.5000  1 B 2.02
B  0.8813  0.3813  0.2626  1 B 2.02
Mo  0.0000  0.0000  0.0000  4 B 2.40
Mo  0.0257  0.1935  0.5000  3 B 2.34-2.41, 2 P 2.55
Mo  0.1935  0.6935  0.1677  3 B 2.34-2.41, 2 P 2.55
Mo  0.3065  0.4743  0.5000  3 B 2.34-2.41, 2 P 2.55
Mo  0.4743  0.9743  0.1677  3 B 2.34-2.41, 2 P 2.55
Mo  0.5000  0.5000  0.0000  4 B 2.40
Mo  0.5257  0.0257  0.8323  3 B 2.34-2.41, 2 P 2.55
Mo  0.6935  0.5257  0.5000  3 B 2.34-2.41, 2 P 2.55
Mo  0.8065  0.3065  0.8323  3 B 2.34-2.41, 2 P 2.55
Mo  0.9743  0.8065  0.5000  3 B 2.34-2.41, 2 P 2.55
P  0.2500  0.2500  0.0000  10 Mo 2.55-2.79
P  0.7500  0.7500  0.0000  10 Mo 2.55-2.79

## Properties
* space-group type: No. 140
* formation enthalpy at 0 K: -0.4255 eV/atom
* E_tot: -76.32 eV/f.u.
* magnetic moment: 0.00 μB/atom

=====

The following is a PBE calculation of a geometry-optimized BMo2P4 structure, from the Alexandria database.

abc: 8.0611 8.0611 8.0611
angles: 154.09 154.09 36.98
Closest atoms and distances in Å follow each position.
Sites, in units of the cell vectors:
B  0.0000  0.0000  0.0000  4 P 1.81
Mo  0.3589  0.3589  0.0000  5 P 2.48-2.69
Mo  0.6411  0.6411  0.0000  5 P 2.48-2.69
P  0.0000  0.5000  0.5000  2 B 1.81
P  0.1966  0.1966  0.0000  5 Mo 2.48-2.69
P  0.5000  0.0000  0.5000  2 B 1.81
P  0.8034  0.8034  0.0000  5 Mo 2.48-2.69

## Properties
* space-group type: No. 139
* formation enthalpy at 0 K: 0.6184 eV/atom
* E_tot: -45.65 eV/f.u.
* magnetic moment: 0.00 μB/atom